Entry 1:
# Ca2TlIr | the Alexandria database | PBE | relaxed
# * total magnetization: 0.00 μB/cell
# * distance to the lowest polymorph of the same formula: 0.121 eV/atom
data_Ca2TlIr
_chemical_formula_sum 'Ca2 Tl1 Ir1'
_space_group_name_H-M_alt 'P 4/m m m'
_space_group_IT_number 123
_space_group_name_Hall '-P 4 2'
_cell_length_a 4.8660
_cell_length_b 4.8660
_cell_length_c 3.9965
_cell_angle_alpha 90.00
_cell_angle_beta 90.00
_cell_angle_gamma 90.00
loop_
_atom_site_label
_atom_site_type_symbol
_atom_site_fract_x
_atom_site_fract_y
_atom_site_fract_z
Ca1 Ca 0.0000 0.5000 0.0000
Tl1 Tl 0.0000 0.0000 0.5000
Ir1 Ir 0.5000 0.5000 0.5000



Entry 2:
# ScTl2Pt | the Alexandria database | PBE | relaxed
# * total magnetization: 0.00 μB/cell
data_ScTl2Pt
_chemical_formula_sum 'Sc1 Tl2 Pt1'
_space_group_name_H-M_alt 'P 1 m 1'
_space_group_IT_number 6
_cell_length_a 3.4097
_cell_length_b 3.4127
_cell_length_c 8.3997
_cell_angle_alpha 90.00
_cell_angle_beta 99.82
_cell_angle_gamma 90.00
loop_
_space_group_symop_operation_xyz
'x,y,z'
'x,-y,z'
loop_
_atom_site_label
_atom_site_type_symbol
_atom_site_fract_x
_atom_site_fract_y
_atom_site_fract_z
Sc1 Sc 0.0000 0.0000 0.0000
Tl1 Tl 0.6040 0.5000 0.2673
Tl2 Tl 0.8222 0.0000 0.6033
Pt1 Pt 0.4360 0.5000 0.8486



Asked for ΔH_f (0 K) across the records above, the calculation gives -0.7 -1.7 eV/f.u. in order.
Asked for energy across the records above, the calculation gives -15.92 -18.78 eV per cell in order.